Crystalline RbAgPO4 at its relaxed geometry, computed with PBE-GGA.

Unit cell a=6.0958 b=6.0958 c=6.0958 alpha=60.00 beta=60.00 gamma=60.00
With the nearest neighbours (Å) after each atom.
Sites, in units of the cell vectors:
1 Rb 0.0000 0.0000 0.0000  12 O 3.64, 4 Ag 3.73
2 Ag 0.2500 0.2500 0.2500  4 O 2.19
3 P 0.5000 0.5000 0.5000  4 O 1.54
4 O 0.3966 0.3966 0.3966  1 P 1.54
5 O 0.3966 0.3966 0.8102  1 P 1.54
6 O 0.3966 0.8102 0.3966  1 P 1.54
7 O 0.8102 0.3966 0.3966  1 P 1.54

Output
Uncorrected energy   -39.32 eV/cell
Formation energy (no corrections)   -1465 meV per atom
Mass density   2.989 Mg/m³
Calculated volume   160.2 Å³ per cell
Magnetization   1.080 Bohr magnetons per cell